LiC2I2: relaxed, PBE.

a b c (Å): 6.522 6.522 5.821
angles (deg): 90.00 90.00 90.00
Space group I4/mmm (No. 139)
Asymmetric unit:
Li  0.000  0.000  0.000 [2 per cell]
C  0.000  0.000  0.388 [4 per cell]
I  0.000  0.500  0.250 [4 per cell]

Calculated values
* raw formation energy: 1034 meV/atom

Sr3Li7Hg2: relaxed, PBE.

a b c (Å): 6.1460 6.1460 30.0673
angles (deg): 90.00 90.00 120.00
Space group R-3m (No. 166, hexagonal axes)
Asymmetric unit:
Sr  0.0000  0.0000  0.0000 [3 per cell]
Sr  0.0000  0.0000  0.1409 [6 per cell]
Li  0.0000  0.0000  0.5000 [3 per cell]
Li  0.0019  0.5010  0.0755 [18 per cell]
Hg  0.0000  0.0000  0.3331 [6 per cell]

Calculated values
* formation energy: -0.167 eV per atom

Th2CdI2Br4: relaxed, PBE.

a b c (Å): 3.9805 3.9805 24.1297
angles (deg): 90.00 90.00 120.00
Space group P3m1 (No. 156)
Asymmetric unit:
Th  0.0000  0.0000  0.0000 [1 per cell]
Th  0.3333  0.6667  0.3283 [1 per cell]
Cd  0.3333  0.6667  0.6749 [1 per cell]
I  0.0000  0.0000  0.5939 [1 per cell]
I  0.0000  0.0000  0.7560 [1 per cell]
Br  0.0000  0.0000  0.2453 [1 per cell]
Br  0.0000  0.0000  0.4110 [1 per cell]
Br  0.3333  0.6667  0.0830 [1 per cell]
Br  0.3333  0.6667  0.9174 [1 per cell]

Calculated values
* raw formation energy: -1062 meV/atom

Sb6S2O15: relaxed, PBE.

a b c (Å): 12.408 19.165 5.974
angles (deg): 90.00 90.00 90.00
Space group Ccc2 (No. 37)
Asymmetric unit:
Sb  0.088  0.208  0.000 [8 per cell]
Sb  0.108  0.065  0.638 [8 per cell]
Sb  0.191  0.434  0.026 [8 per cell]
S  0.130  0.345  0.460 [8 per cell]
O  0.000  0.000  0.286 [4 per cell]
O  0.009  0.164  0.731 [8 per cell]
O  0.058  0.284  0.402 [8 per cell]
O  0.072  0.411  0.448 [8 per cell]
O  0.154  0.103  0.955 [8 per cell]
O  0.183  0.332  0.678 [8 per cell]
O  0.217  0.345  0.276 [8 per cell]
O  0.240  0.001  0.749 [8 per cell]

Calculated values
* raw formation energy: -1358 meV/atom

KIn2Rh: relaxed, PBE.

a b c (Å): 3.4483 3.4483 29.7231
angles (deg): 90.00 90.00 120.00
Space group R-3m (No. 166, hexagonal axes)
Asymmetric unit:
K  0.0000  0.0000  0.0000 [3 per cell]
In  0.0000  0.0000  0.2308 [6 per cell]
Rh  0.0000  0.0000  0.5000 [3 per cell]

Calculated values
* formation energy: -0.003 eV per atom

Ho5B2O6F9: relaxed, PBE.

a b c (Å): 20.636 6.084 8.284
angles (deg): 90.00 100.47 90.00
Space group C2/c (No. 15)
Asymmetric unit:
Ho  0.000  0.105  0.250 [4 per cell]
Ho  0.109  0.391  0.905 [8 per cell]
Ho  0.194  0.120  0.319 [8 per cell]
B  0.111  0.096  0.562 [8 per cell]
O  0.090  0.239  0.434 [8 per cell]
O  0.093  0.104  0.715 [8 per cell]
O  0.158  0.060  0.039 [8 per cell]
F  0.000  0.482  0.250 [4 per cell]
F  0.031  0.180  0.981 [8 per cell]
F  0.131  0.426  0.184 [8 per cell]
F  0.210  0.425  0.480 [8 per cell]
F  0.226  0.219  0.786 [8 per cell]

Calculated values
* raw formation energy: -3675 meV/atom

RbCoSb: relaxed, PBE.

a b c (Å): 4.182 4.188 13.209
angles (deg): 81.37 81.95 60.08
Space group P-1 (No. 2)
Asymmetric unit:
Rb  0.088  0.110  0.173 [2 per cell]
Co  0.351  0.355  0.433 [2 per cell]
Sb  0.301  0.293  0.622 [2 per cell]

Calculated values
* raw formation energy: 33 meV/atom

Na3Be2O4: relaxed, PBE.

a b c (Å): 11.027 2.907 8.162
angles (deg): 90.00 130.79 90.00
Space group C2/m (No. 12)
Asymmetric unit:
Na  0.000  0.000  0.000 [2 per cell]
Na  0.098  0.500  0.768 [4 per cell]
Be  0.213  0.500  0.370 [4 per cell]
O  0.127  0.000  0.367 [4 per cell]
O  0.217  0.500  0.177 [4 per cell]

Calculated values
* raw formation energy: -1831 meV/atom